First-principles (PBE) data for BaCaI2O8 after structural relaxation, as listed in Alexandria. Values from VASP.

Structure (Quantum ESPRESSO input):
```
&SYSTEM
  ibrav = 0, nat = 12, ntyp = 4
/
ATOMIC_SPECIES
O 16.00 O.upf
I 126.90 I.upf
Ba 137.33 Ba.upf
Ca 40.08 Ca.upf
ATOMIC_POSITIONS crystal
O 0.719 0.066 0.815
O 0.600 0.281 0.185
O 0.182 0.182 0.455
O 0.281 0.934 0.185
O 0.818 0.818 0.545
O 0.066 0.400 0.815
O 0.934 0.600 0.185
O 0.400 0.719 0.815
I 0.736 0.736 0.791
I 0.264 0.264 0.209
Ba 0.500 0.500 0.500
Ca 0.000 0.000 0.000
CELL_PARAMETERS angstrom
5.700 0.000 0.000
2.850 4.936 0.000
2.850 1.645 7.364
```

total energy: -5.023 eV/atom
DOS at the Fermi energy: 4.724 states/eV/cell
total moment: 2.00 μB per cell